Record 1
# RbVCu2H | Alexandria via LeMat-Bulk | PBE | relaxed
# DFT total energy ... -3.20 eV per atom
# DOS(E_F) ... 4.250 states/eV/cell
data_RbVCu2H
_chemical_formula_sum 'Rb1 V1 Cu2 H1'
_cell_length_a 4.082
_cell_length_b 4.082
_cell_length_c 4.946
_cell_angle_alpha 90.00
_cell_angle_beta 90.00
_cell_angle_gamma 90.00
_space_group_name_H-M_alt 'P 4/m m m'
_space_group_IT_number 123
_space_group_name_Hall '-P 4 2'
loop_
_atom_site_label
_atom_site_type_symbol
_atom_site_fract_x
_atom_site_fract_y
_atom_site_fract_z
Rb1 Rb 0.000 0.000 0.000
V1 V 0.500 0.500 0.000
Cu1 Cu 0.000 0.500 0.500
H1 H 0.000 0.000 0.500

---

Record 2
# LaNd3DySc | Alexandria via LeMat-Bulk | PBE | relaxed
# DFT total energy ... -4.99 eV per atom
# DOS(E_F) ... 39.196 states/eV/cell
# Energy relative to the elements ... 0.0416 eV/atom
data_LaNd3DySc
_chemical_formula_sum 'La4 Nd12 Dy4 Sc4'
_cell_length_a 5.099
_cell_length_b 15.341
_cell_length_c 10.098
_cell_angle_alpha 90.00
_cell_angle_beta 90.00
_cell_angle_gamma 90.00
_space_group_name_H-M_alt 'C m c m'
_space_group_IT_number 63
_space_group_name_Hall '-C 2c 2'
loop_
_atom_site_label
_atom_site_type_symbol
_atom_site_fract_x
_atom_site_fract_y
_atom_site_fract_z
La1 La 0.000 0.000 0.000
Nd1 Nd 0.000 0.170 0.250
Nd2 Nd 0.000 0.332 0.002
Dy1 Dy 0.000 0.496 0.250
Sc1 Sc 0.000 0.166 0.750